1.
{
  "formula": "Li2AcCu4",
  "functional": "PBE-GGA",
  "state": "optimized geometry",
  "magnetic_moment_mub_per_fu": 0.0,
  "cell": [[4.101, 0.000, -0.935], [-0.203, 3.814, -0.891], [-0.144, 0.039, 8.831]],
  "species": ["Li", "Cu", "Cu", "Cu", "Li", "Cu", "Ac"],
  "fractional_positions": [[0.191, 0.191, 0.381], [0.348, 0.348, 0.697], [0.652, 0.652, 0.303], [0.078, 0.578, 0.156], [0.809, 0.809, 0.619], [0.922, 0.422, 0.844], [0.500, 0.000, 0.000]]
}

2.
{
  "formula": "Li2AcCu3",
  "functional": "PBE-GGA",
  "state": "optimized geometry",
  "magnetic_moment_mub_per_fu": 0.0,
  "e_above_lowest_polymorph_ev_per_atom": 0.0465,
  "cell": [[5.564, 0.000, 0.000], [-2.782, 4.819, 0.000], [0.000, 0.000, 7.906]],
  "species": ["Cu", "Cu", "Cu", "Li", "Ac", "Cu", "Li", "Ac", "Cu", "Li", "Li", "Cu"],
  "fractional_positions": [[0.000, 0.500, 0.750], [0.500, 0.000, 0.750], [0.500, 0.500, 0.250], [0.667, 0.333, 0.500], [0.000, 0.000, 0.500], [0.500, 0.000, 0.250], [0.667, 0.333, 0.000], [0.000, 0.000, 0.000], [0.000, 0.500, 0.250], [0.333, 0.667, 0.000], [0.333, 0.667, 0.500], [0.500, 0.500, 0.750]]
}

What are the VASP energy values for these records? In order: -3.451; -3.395 eV/atom.
What are the energy of formation from the pure elements values for these records? In order: 0.02; -0.02 eV per atom.